1.
Li3Sc3TcO8: relaxed, PBE-GGA.

a = 6.1173 Å, b = 6.1173 Å, c = 6.1173 Å
α = 61.27°, β = 61.27°, γ = 61.27°
Positions (direct):
Li 0.0000 0.5000 0.5000
Li 0.5000 0.0000 0.5000
Li 0.5000 0.5000 0.0000
Sc 0.0000 0.0000 0.5000
Sc 0.0000 0.5000 0.0000
Sc 0.5000 0.0000 0.0000
Tc 0.5000 0.5000 0.5000
O 0.2417 0.2417 0.2417
O 0.2544 0.7342 0.7342
O 0.2658 0.2658 0.7456
O 0.2658 0.7456 0.2658
O 0.7342 0.2544 0.7342
O 0.7342 0.7342 0.2544
O 0.7456 0.2658 0.2658
O 0.7583 0.7583 0.7583

Calculated values
The volume comes out at 166.5 Å³ per cell. Its crystal system is trigonal. For the magnetic moment, the calculation gives 0.2000 μB/atom. The energy relative to the elements, uncorrected comes out at -2.6147 eV per atom. The value obtained for the uncorrected energy is -7.60 eV/atom.

---

2.
Li2ScTcO6: relaxed, PBE-GGA.

a = 5.2046 Å, b = 5.4017 Å, c = 9.1759 Å
α = 90.00°, β = 124.43°, γ = 90.00°
Positions (direct):
Li 0.2418 0.0281 0.2455
Li 0.2418 0.4719 0.7455
Li 0.7582 0.5281 0.2545
Li 0.7582 0.9719 0.7545
Sc 0.0000 0.0000 0.5000
Sc 0.0000 0.5000 0.0000
Tc 0.5000 0.0000 0.0000
Tc 0.5000 0.5000 0.5000
O 0.1468 0.0465 0.7632
O 0.1468 0.4535 0.2632
O 0.2501 0.6711 0.5565
O 0.2501 0.8289 0.0565
O 0.4033 0.1987 0.5651
O 0.4033 0.3013 0.0651
O 0.5967 0.6987 0.9349
O 0.5967 0.8013 0.4349
O 0.7499 0.1711 0.9435
O 0.7499 0.3289 0.4435
O 0.8532 0.5465 0.7368
O 0.8532 0.9535 0.2368

Calculated values
The volume comes out at 212.8 Å³ per cell. Its crystal system is monoclinic. For the magnetic moment, the calculation gives 0.0000 μB/atom. The energy relative to the elements, uncorrected comes out at -2.0307 eV per atom. The value obtained for the uncorrected energy is -7.06 eV/atom.

---

3.
LiScTe2O8: relaxed, PBE-GGA.

a = 5.9695 Å, b = 5.9695 Å, c = 5.9695 Å
α = 107.26°, β = 107.26°, γ = 113.99°
Positions (direct):
Li 0.0000 0.0000 0.0000
Sc 0.2500 0.7500 0.5000
Te 0.5000 0.5000 0.0000
Te 0.7500 0.2500 0.5000
O 0.3211 0.1206 0.7995
O 0.3211 0.5216 0.2005
O 0.3647 0.0560 0.3087
O 0.4784 0.6789 0.7995
O 0.7473 0.0560 0.6913
O 0.8794 0.6789 0.2005
O 0.9440 0.2527 0.3087
O 0.9440 0.6353 0.6913

Calculated values
The volume comes out at 163.0 Å³ per cell. Its crystal system is tetragonal. For the magnetic moment, the calculation gives 0.0000 μB/atom. The energy relative to the elements, uncorrected comes out at -1.4226 eV per atom. The value obtained for the uncorrected energy is -5.94 eV/atom.

---

4.
Li2ScTeO4: relaxed, PBE-GGA.

a = 4.5011 Å, b = 4.5011 Å, c = 9.4985 Å
α = 90.00°, β = 90.00°, γ = 90.00°
Positions (direct):
Li 0.0000 0.0000 0.0000
Li 0.0000 0.5000 0.2500
Li 0.5000 0.0000 0.7500
Li 0.5000 0.5000 0.5000
Sc 0.0000 0.5000 0.7500
Sc 0.5000 0.0000 0.2500
Te 0.0000 0.0000 0.5000
Te 0.5000 0.5000 0.0000
O 0.0000 0.0000 0.2552
O 0.0000 0.0000 0.7448
O 0.0000 0.5000 0.5287
O 0.0000 0.5000 0.9713
O 0.5000 0.0000 0.0287
O 0.5000 0.0000 0.4713
O 0.5000 0.5000 0.2448
O 0.5000 0.5000 0.7552

Calculated values
The volume comes out at 192.4 Å³ per cell. Its crystal system is tetragonal. For the magnetic moment, the calculation gives 0.0001 μB/atom. The energy relative to the elements, uncorrected comes out at -1.8578 eV per atom. The value obtained for the uncorrected energy is -6.00 eV/atom.

---

5.
Li3Sc3TeO8: relaxed, PBE-GGA.

a = 6.2107 Å, b = 6.2107 Å, c = 6.2107 Å
α = 61.93°, β = 61.93°, γ = 61.93°
Positions (direct):
Li 0.0000 0.5000 0.5000
Li 0.5000 0.0000 0.5000
Li 0.5000 0.5000 0.0000
Sc 0.0000 0.0000 0.5000
Sc 0.0000 0.5000 0.0000
Sc 0.5000 0.0000 0.0000
Te 0.5000 0.5000 0.5000
O 0.2398 0.7418 0.7418
O 0.2415 0.2415 0.2415
O 0.2582 0.2582 0.7602
O 0.2582 0.7602 0.2582
O 0.7418 0.2398 0.7418
O 0.7418 0.7418 0.2398
O 0.7585 0.7585 0.7585
O 0.7602 0.2582 0.2582

Calculated values
The volume comes out at 176.7 Å³ per cell. Its crystal system is trigonal. For the magnetic moment, the calculation gives 0.0000 μB/atom. The energy relative to the elements, uncorrected comes out at -2.4687 eV per atom. The value obtained for the uncorrected energy is -6.97 eV/atom.

---

6.
LiScTeO2: relaxed, PBE-GGA.

a = 3.9658 Å, b = 3.9658 Å, c = 4.4093 Å
α = 90.00°, β = 90.00°, γ = 90.00°
Positions (direct):
Li 0.0000 0.0000 0.0000
Sc 0.0000 0.0000 0.5000
Te 0.5000 0.5000 0.5000
O 0.0000 0.5000 0.0000
O 0.5000 0.0000 0.0000

Calculated values
The volume comes out at 69.3 Å³ per cell. Its crystal system is tetragonal. For the magnetic moment, the calculation gives 0.0000 μB/atom. The energy relative to the elements, uncorrected comes out at -0.4421 eV per atom. The value obtained for the uncorrected energy is -4.70 eV/atom.

---

7.
Li2Sc2TeO6: relaxed, PBE-GGA.

a = 5.5796 Å, b = 5.5796 Å, c = 5.3384 Å
α = 99.93°, β = 99.93°, γ = 120.06°
Positions (direct):
Li 0.1830 0.8170 0.0000
Li 0.8170 0.1830 0.0000
Sc 0.3360 0.6640 0.5000
Sc 0.6640 0.3360 0.5000
Te 0.0000 0.0000 0.5000
O 0.0590 0.4141 0.7216
O 0.2591 0.2591 0.2825
O 0.4141 0.0590 0.7216
O 0.5859 0.9410 0.2784
O 0.7409 0.7409 0.7175
O 0.9410 0.5859 0.2784

Calculated values
The volume comes out at 135.0 Å³ per cell. Its crystal system is monoclinic. For the magnetic moment, the calculation gives 0.0000 μB/atom. The energy relative to the elements, uncorrected comes out at -2.3200 eV per atom. The value obtained for the uncorrected energy is -6.81 eV/atom.

---

8.
Li2ScTiO4: relaxed, PBE-GGA.

a = 5.2601 Å, b = 3.0238 Å, c = 5.2765 Å
α = 90.00°, β = 109.61°, γ = 90.00°
Positions (direct):
Li 0.0000 0.0000 0.0000
Li 0.0000 0.5000 0.5000
Sc 0.5000 0.0000 0.5000
Ti 0.5000 0.5000 0.0000
O 0.2658 0.0000 0.7596
O 0.2685 0.5000 0.2459
O 0.7315 0.5000 0.7541
O 0.7342 0.0000 0.2404

Calculated values
The volume comes out at 79.1 Å³ per cell. Its crystal system is monoclinic. For the magnetic moment, the calculation gives 0.1142 μB/atom. The energy relative to the elements, uncorrected comes out at -2.7490 eV per atom. The value obtained for the uncorrected energy is -7.48 eV/atom.

---

9.
Li2ScTi3O6: relaxed, PBE-GGA.

a = 5.1000 Å, b = 5.1000 Å, c = 5.3532 Å
α = 98.70°, β = 98.70°, γ = 120.21°
Positions (direct):
Li 0.1673 0.8327 0.0000
Li 0.8327 0.1673 0.0000
Sc 0.5000 0.5000 0.0000
Ti 0.0000 0.0000 0.5000
Ti 0.3161 0.6839 0.5000
Ti 0.6839 0.3161 0.5000
O 0.0829 0.4171 0.7587
O 0.2583 0.2583 0.2681
O 0.4171 0.0829 0.7587
O 0.5829 0.9171 0.2413
O 0.7417 0.7417 0.7319
O 0.9171 0.5829 0.2413

Calculated values
The volume comes out at 114.7 Å³ per cell. Its crystal system is monoclinic. For the magnetic moment, the calculation gives 0.0001 μB/atom. The energy relative to the elements, uncorrected comes out at -2.6831 eV per atom. The value obtained for the uncorrected energy is -7.98 eV/atom.

---

10.
LiScTi2O4: relaxed, PBE-GGA.

a = 5.0978 Å, b = 2.9968 Å, c = 5.3802 Å
α = 90.00°, β = 108.08°, γ = 90.00°
Positions (direct):
Li 0.0000 0.0000 0.0000
Sc 0.5000 0.5000 0.0000
Ti 0.0000 0.5000 0.5000
Ti 0.5000 0.0000 0.5000
O 0.2407 0.0000 0.7576
O 0.2483 0.5000 0.2505
O 0.7517 0.5000 0.7495
O 0.7593 0.0000 0.2424

Calculated values
The volume comes out at 78.1 Å³ per cell. Its crystal system is monoclinic. For the magnetic moment, the calculation gives 0.0079 μB/atom. The energy relative to the elements, uncorrected comes out at -2.6573 eV per atom. The value obtained for the uncorrected energy is -8.14 eV/atom.

---

11.
LiScTiO4: relaxed, PBE-GGA.

a = 6.1252 Å, b = 6.1252 Å, c = 6.1252 Å
α = 121.52°, β = 118.56°, γ = 89.95°
Positions (direct):
Li 0.3652 0.1152 0.2500
Li 0.6348 0.8848 0.7500
Sc 0.0000 0.5000 0.5000
Sc 0.5000 0.5000 0.0000
Ti 0.0000 0.0000 0.5000
Ti 0.0000 0.5000 0.0000
O 0.2086 0.7446 0.4640
O 0.2194 0.2554 0.9640
O 0.2268 0.2438 0.5169
O 0.2268 0.7099 0.9831
O 0.7732 0.2901 0.0169
O 0.7732 0.7562 0.4831
O 0.7806 0.7446 0.0360
O 0.7914 0.2554 0.5360

Calculated values
The volume comes out at 162.3 Å³ per cell. Its crystal system is orthorhombic. For the magnetic moment, the calculation gives 0.0000 μB/atom. The energy relative to the elements, uncorrected comes out at -3.0163 eV per atom. The value obtained for the uncorrected energy is -8.16 eV/atom.

---

12.
LiScTi2O6: relaxed, PBE-GGA.

a = 6.9859 Å, b = 6.9859 Å, c = 5.7282 Å
α = 103.86°, β = 103.86°, γ = 86.49°
Positions (direct):
Li 0.2239 0.7761 0.7500
Li 0.7761 0.2239 0.2500
Sc 0.0962 0.9038 0.2500
Sc 0.9038 0.0962 0.7500
Ti 0.2135 0.4000 0.2648
Ti 0.4000 0.2135 0.7648
Ti 0.6000 0.7865 0.2352
Ti 0.7865 0.6000 0.7352
O 0.0320 0.1951 0.1401
O 0.1162 0.6427 0.3641
O 0.1951 0.0320 0.6401
O 0.3289 0.4019 0.0130
O 0.3573 0.8838 0.1359
O 0.4019 0.3289 0.5130
O 0.5981 0.6711 0.4870
O 0.6427 0.1162 0.8641
O 0.6711 0.5981 0.9870
O 0.8049 0.9680 0.3599
O 0.8838 0.3573 0.6359
O 0.9680 0.8049 0.8599

Calculated values
The volume comes out at 263.5 Å³ per cell. Its crystal system is monoclinic. For the magnetic moment, the calculation gives 0.0000 μB/atom. The energy relative to the elements, uncorrected comes out at -3.0014 eV per atom. The value obtained for the uncorrected energy is -8.38 eV/atom.

---

13.
Li2ScTlO4: relaxed, PBE-GGA.

a = 5.4394 Å, b = 3.2080 Å, c = 5.6104 Å
α = 90.00°, β = 110.95°, γ = 90.00°
Positions (direct):
Li 0.0000 0.0000 0.0000
Li 0.0000 0.5000 0.5000
Sc 0.5000 0.0000 0.5000
Tl 0.5000 0.5000 0.0000
O 0.2542 0.0000 0.7317
O 0.2638 0.5000 0.2742
O 0.7362 0.5000 0.7258
O 0.7458 0.0000 0.2683

Calculated values
The volume comes out at 91.4 Å³ per cell. Its crystal system is monoclinic. For the magnetic moment, the calculation gives 0.0000 μB/atom. The energy relative to the elements, uncorrected comes out at -1.9882 eV per atom. The value obtained for the uncorrected energy is -6.03 eV/atom.

---

14.
Li2ScTlO: relaxed, PBE-GGA.

a = 5.3544 Å, b = 5.3544 Å, c = 5.6630 Å
α = 90.00°, β = 90.00°, γ = 90.00°
Positions (direct):
Li 0.0000 0.5000 0.0000
Li 0.5000 0.0000 0.0000
Sc 0.0000 0.0000 0.0000
Tl 0.0000 0.0000 0.5000
O 0.5000 0.5000 0.5000

Calculated values
The value obtained for the energy above the most stable polymorph in this dataset is 11.67 eV per formula unit. The volume comes out at 162.4 Å³ per cell. Its crystal system is tetragonal. For the magnetic moment, the calculation gives 0.3793 μB/atom. The energy relative to the elements, uncorrected comes out at 1.1144 eV per atom. The value obtained for the uncorrected energy is -2.38 eV/atom.

---

15.
Li2ScTlO: relaxed, PBE-GGA.

a = 4.4431 Å, b = 4.4431 Å, c = 4.1010 Å
α = 90.00°, β = 90.00°, γ = 90.00°
Positions (direct):
Li 0.0000 0.5000 0.0000
Li 0.5000 0.0000 0.0000
Sc 0.0000 0.0000 0.5000
Tl 0.5000 0.5000 0.5000
O 0.0000 0.0000 0.0000

Calculated values
The value obtained for the energy above the most stable polymorph in this dataset is 0.00 eV per formula unit. The volume comes out at 81.0 Å³ per cell. Its crystal system is tetragonal. For the magnetic moment, the calculation gives 0.0000 μB/atom. The energy relative to the elements, uncorrected comes out at -1.2190 eV per atom. The value obtained for the uncorrected energy is -4.72 eV/atom.

---

16.
Li2ScTlO: relaxed, PBE-GGA.

a = 5.8167 Å, b = 5.8167 Å, c = 3.8321 Å
α = 90.00°, β = 90.00°, γ = 90.00°
Positions (direct):
Li 0.0000 0.5000 0.0000
Li 0.5000 0.0000 0.0000
Sc 0.0000 0.0000 0.0000
Tl 0.5000 0.5000 0.5000
O 0.0000 0.0000 0.5000

Calculated values
The value obtained for the energy above the most stable polymorph in this dataset is 3.37 eV per formula unit. The volume comes out at 129.7 Å³ per cell. Its crystal system is tetragonal. For the magnetic moment, the calculation gives 0.0000 μB/atom. The energy relative to the elements, uncorrected comes out at -0.5443 eV per atom. The value obtained for the uncorrected energy is -4.04 eV/atom.

---

17.
Li2TmScO4: relaxed, PBE-GGA.

a = 5.3232 Å, b = 3.2186 Å, c = 5.5734 Å
α = 90.00°, β = 110.48°, γ = 90.00°
Positions (direct):
Li 0.0000 0.0000 0.0000
Li 0.0000 0.5000 0.5000
Tm 0.5000 0.0000 0.5000
Sc 0.5000 0.5000 0.0000
O 0.2678 0.5000 0.2451
O 0.2692 0.0000 0.7652
O 0.7308 0.0000 0.2348
O 0.7322 0.5000 0.7549

Calculated values
The volume comes out at 89.5 Å³ per cell. Its crystal system is monoclinic. For the magnetic moment, the calculation gives 0.0000 μB/atom. The energy relative to the elements, uncorrected comes out at -2.9293 eV per atom. The value obtained for the uncorrected energy is -7.24 eV/atom.

---

18.
LiTmSc4O8: relaxed, PBE-GGA.

a = 6.2721 Å, b = 6.2721 Å, c = 6.2721 Å
α = 60.80°, β = 60.80°, γ = 60.80°
Positions (direct):
Li 0.0000 0.0000 0.0000
Tm 0.3766 0.3766 0.3766
Sc 0.4945 0.9969 0.9969
Sc 0.6171 0.6171 0.6171
Sc 0.9969 0.4945 0.9969
Sc 0.9969 0.9969 0.4945
O 0.2288 0.7425 0.7425
O 0.2364 0.2364 0.2364
O 0.2397 0.2397 0.7829
O 0.2397 0.7829 0.2397
O 0.7425 0.2288 0.7425
O 0.7425 0.7425 0.2288
O 0.7532 0.7532 0.7532
O 0.7829 0.2397 0.2397

Calculated values
The volume comes out at 177.6 Å³ per cell. Its crystal system is trigonal. For the magnetic moment, the calculation gives 0.0000 μB/atom. The energy relative to the elements, uncorrected comes out at -3.3243 eV per atom. The value obtained for the uncorrected energy is -8.42 eV/atom.

---

19.
LiScUO4: relaxed, PBE-GGA.

a = 5.5282 Å, b = 5.5282 Å, c = 6.9086 Å
α = 90.00°, β = 90.00°, γ = 112.12°
Positions (direct):
Li 0.1616 0.8384 0.7500
Li 0.8384 0.1616 0.2500
Sc 0.1510 0.8490 0.2500
Sc 0.8490 0.1510 0.7500
U 0.5000 0.5000 0.0000
U 0.5000 0.5000 0.5000
O 0.2405 0.2490 0.7500
O 0.2490 0.2405 0.2500
O 0.2669 0.7331 0.0053
O 0.2669 0.7331 0.4947
O 0.7331 0.2669 0.5053
O 0.7331 0.2669 0.9947
O 0.7510 0.7595 0.7500
O 0.7595 0.7510 0.2500

Calculated values
The volume comes out at 195.6 Å³ per cell. Its crystal system is orthorhombic. For the magnetic moment, the calculation gives 0.2857 μB/atom. The energy relative to the elements, uncorrected comes out at -2.9275 eV per atom. The value obtained for the uncorrected energy is -8.55 eV/atom.

---

20.
Li2ScUO6: relaxed, PBE-GGA.

a = 5.4076 Å, b = 5.5724 Å, c = 9.5050 Å
α = 90.00°, β = 124.52°, γ = 90.00°
Positions (direct):
Li 0.2416 0.0149 0.2515
Li 0.2416 0.4851 0.7515
Li 0.7584 0.5149 0.2485
Li 0.7584 0.9851 0.7485
Sc 0.5000 0.0000 0.0000
Sc 0.5000 0.5000 0.5000
U 0.0000 0.0000 0.5000
U 0.0000 0.5000 0.0000
O 0.1219 0.0647 0.7463
O 0.1219 0.4353 0.2463
O 0.2325 0.6806 0.5651
O 0.2325 0.8194 0.0651
O 0.3880 0.1750 0.5635
O 0.3880 0.3250 0.0635
O 0.6120 0.6750 0.9365
O 0.6120 0.8250 0.4365
O 0.7675 0.1806 0.9349
O 0.7675 0.3194 0.4349
O 0.8781 0.5647 0.7537
O 0.8781 0.9353 0.2537

Calculated values
The volume comes out at 236.0 Å³ per cell. Its crystal system is monoclinic. For the magnetic moment, the calculation gives 0.0693 μB/atom. The energy relative to the elements, uncorrected comes out at -2.6568 eV per atom. The value obtained for the uncorrected energy is -7.78 eV/atom.